(1)
The following is a DFT calculation (PBE) of a relaxed La2ScZnSe5 crystal.

Cell: 4.0570 9.0969 12.3385 Å, 90.00 90.00 102.88°
Element x y z (fractional)
Se 0.3537 0.7073 0.0034
Se 0.7101 0.4202 0.1651
La 0.1315 0.2630 0.3117
Se 0.5031 0.0061 0.2732
Se 0.0481 0.0962 0.0576
Se 0.2899 0.5798 0.6651
La 0.8824 0.7647 0.1877
Se 0.9519 0.9038 0.5576
La 0.8685 0.7370 0.8117
Zn 0.4434 0.8867 0.4489
Se 0.3094 0.6187 0.3609
Zn 0.5566 0.1133 0.9489
Sc 0.2003 0.4005 0.0155
Sc 0.7997 0.5995 0.5155
La 0.1176 0.2353 0.6877
Se 0.4969 0.9939 0.7732
Se 0.6906 0.3813 0.8609
Se 0.6463 0.2927 0.5034

Crystal system   orthorhombic
Space group   Cmc2_1
DOS at the Fermi energy   0.2401 states/eV per atom
Calculated total energy   -5.53 eV per atom
ρ   5.9 g/cm3
Calculated volume   24.66 Å³ per atom

(2)
The following is a DFT calculation (PBE) of a relaxed LaScSi2 crystal.

Cell: 4.8496 4.8496 9.5861 Å, 75.35 75.35 90.00°
Element x y z (fractional)
Si 0.3750 0.5257 0.7500
La 0.0000 0.0000 0.0000
Sc 0.5000 0.5000 0.0000
Si 0.2757 0.6250 0.2500
Sc 0.2500 0.7500 0.5000
La 0.7500 0.2500 0.5000
Si 0.8750 0.7243 0.7500
Si 0.4743 0.1250 0.2500

Crystal system   tetragonal
Space group   I-42d
DOS at the Fermi energy   0.6669 states/eV per atom
E above lowest polymorph   562.6 meV/atom
ρ   3.8 g/cm3
Calculated volume   26.32 Å³ per atom

(3)
The following is a DFT calculation (PBE) of a relaxed La2ScSi2 crystal.

Cell: 5.5494 5.5494 6.1587 Å, 63.22 63.22 90.00°
Element x y z (fractional)
La 0.6666 0.6666 0.6668
Si 0.2500 0.7500 0.5000
Si 0.7500 0.2500 0.5000
Sc 0.0000 0.0000 0.0000
La 0.3334 0.3334 0.3332

Crystal system   tetragonal
Space group   I4/mmm
DOS at the Fermi energy   0.8822 states/eV per atom
E above lowest polymorph   804.7 meV/atom
ρ   4.3 g/cm3
Calculated volume   29.24 Å³ per atom

(4)
The following is a DFT calculation (PBE) of a relaxed La3ScSi2 crystal.

Cell: 4.3117 4.6673 8.7674 Å, 105.41 104.20 89.99°
Element x y z (fractional)
La 0.8192 0.3192 0.6379
Si 0.3736 0.8736 0.7467
La 0.1808 0.6808 0.3621
Sc 0.0000 0.0000 0.0000
La 0.5000 0.5000 0.0000
Si 0.6264 0.1264 0.2533

Crystal system   orthorhombic
Space group   Immm
DOS at the Fermi energy   1.2035 states/eV per atom
Calculated total energy   -5.84 eV per atom
ρ   5.2 g/cm3
Calculated volume   27.42 Å³ per atom

(5)
The following is a DFT calculation (PBE) of a relaxed La2ScSi crystal.

Cell: 3.5009 3.8462 8.0573 Å, 90.00 90.00 90.00°
Element x y z (fractional)
Si 0.5000 0.5000 0.7026
Sc 0.0000 0.0000 0.5675
La 0.0000 0.0000 0.9450
La 0.5000 0.5000 0.2850

Crystal system   orthorhombic
Space group   Pmm2
DOS at the Fermi energy   1.2529 states/eV per atom
Calculated total energy   -5.67 eV per atom
ρ   5.4 g/cm3
Calculated volume   27.12 Å³ per atom

(6)
The following is a DFT calculation (PBE) of a relaxed LaSc2Si2 crystal.

Cell: 8.1573 8.1573 3.2433 Å, 90.00 90.00 90.00°
Element x y z (fractional)
Sc 0.3548 0.1452 0.5000
Si 0.3506 0.8506 0.0000
La 0.0000 0.0000 0.0000
La 0.5000 0.5000 0.0000
Si 0.8506 0.6494 0.0000
Sc 0.1452 0.6452 0.5000
Si 0.6494 0.1494 0.0000
Sc 0.6452 0.8548 0.5000
Si 0.1494 0.3506 0.0000
Sc 0.8548 0.3548 0.5000

Crystal system   tetragonal
Space group   P4/mbm
DOS at the Fermi energy   0.9766 states/eV per atom
E above lowest polymorph   151.6 meV/atom
ρ   4.4 g/cm3
Calculated volume   21.58 Å³ per atom

(7)
The following is a DFT calculation (PBE) of a relaxed LaScSi2 crystal.

Cell: 4.8260 4.8260 5.7291 Å, 70.68 70.68 47.23°
Element x y z (fractional)
Si 0.9878 0.9878 0.1097
La 0.7500 0.7500 0.7500
Sc 0.2500 0.2500 0.2500
Si 0.5122 0.5122 0.3903

Crystal system   monoclinic
Space group   C2/m
DOS at the Fermi energy   0.7983 states/eV per atom
E above lowest polymorph   88.8 meV/atom
ρ   4.4 g/cm3
Calculated volume   22.84 Å³ per atom

(8)
The following is a DFT calculation (PBE) of a relaxed LaScSi2 crystal.

Cell: 3.7464 3.5165 7.3364 Å, 61.36 90.00 90.00°
Element x y z (fractional)
La 0.5000 0.2500 0.2500
Si 0.0000 0.0614 0.9387
Si 0.0000 0.4386 0.5613
Sc 0.5000 0.7500 0.7500

Crystal system   orthorhombic
Space group   Pmmm
DOS at the Fermi energy   0.6936 states/eV per atom
E above lowest polymorph   86.5 meV/atom
ρ   4.7 g/cm3
Calculated volume   21.21 Å³ per atom

(9)
The following is a DFT calculation (PBE) of a relaxed LaScSi2 crystal.

Cell: 5.1406 5.1406 5.1406 Å, 126.36 126.36 79.30°
Element x y z (fractional)
Si 0.5000 0.5000 0.0000
Si 0.0000 0.0000 0.0000
Sc 0.7500 0.2500 0.5000
La 0.2500 0.7500 0.5000

Crystal system   tetragonal
Space group   I4/mmm
DOS at the Fermi energy   0.5263 states/eV per atom
E above lowest polymorph   242.4 meV/atom
ρ   4.7 g/cm3
Calculated volume   21.30 Å³ per atom

(10)
The following is a DFT calculation (PBE) of a relaxed LaScSi2 crystal.

Cell: 4.9809 4.9809 4.9809 Å, 60.00 60.00 60.00°
Element x y z (fractional)
La 0.5000 0.5000 0.5000
Sc 0.0000 0.0000 0.0000
Si 0.2500 0.2500 0.2500
Si 0.7500 0.7500 0.7500

Crystal system   cubic
Space group   Fm-3m
DOS at the Fermi energy   1.2048 states/eV per atom
E above lowest polymorph   301.0 meV/atom
ρ   4.6 g/cm3
Calculated volume   21.84 Å³ per atom

(11)
The following is a DFT calculation (PBE) of a relaxed LaScSi2 crystal.

Cell: 4.8830 4.8830 4.8830 Å, 60.00 60.00 60.00°
Element x y z (fractional)
La 0.5000 0.5000 0.5000
Si 0.0000 0.0000 0.0000
Si 0.2500 0.2500 0.2500
Sc 0.7500 0.7500 0.7500

Crystal system   cubic
Space group   F-43m
DOS at the Fermi energy   0.8231 states/eV per atom
E above lowest polymorph   715.5 meV/atom
ρ   4.8 g/cm3
Calculated volume   20.58 Å³ per atom

(12)
The following is a DFT calculation (PBE) of a relaxed La2ScSi crystal.

Cell: 5.8473 5.8473 5.8473 Å, 133.14 133.14 68.43°
Element x y z (fractional)
La 0.0000 0.0000 0.0000
Sc 0.2500 0.7500 0.5000
Si 0.7500 0.2500 0.5000
La 0.5000 0.5000 0.0000

Crystal system   tetragonal
Space group   I4/mmm
DOS at the Fermi energy   1.5125 states/eV per atom
Calculated total energy   -5.58 eV per atom
ρ   5.6 g/cm3
Calculated volume   26.14 Å³ per atom

(13)
The following is a DFT calculation (PBE) of a relaxed La2ScSi2 crystal.

Cell: 4.3103 6.1119 6.1117 Å, 59.79 69.35 69.35°
Element x y z (fractional)
La 0.2947 0.2053 0.7052
Si 0.0000 0.7945 0.7055
Si 0.0000 0.2055 0.2945
La 0.7053 0.7947 0.2948
Sc 0.5000 0.5000 0.0000

Crystal system   orthorhombic
Space group   Immm
DOS at the Fermi energy   1.2476 states/eV per atom
E above lowest polymorph   35.5 meV/atom
ρ   5.0 g/cm3
Calculated volume   25.42 Å³ per atom

(14)
The following is a DFT calculation (PBE) of a relaxed LaScSi4 crystal.

Cell: 5.3594 5.3594 5.3594 Å, 60.00 60.00 60.00°
Element x y z (fractional)
Si 0.3696 0.3696 0.3696
Si 0.8912 0.3696 0.3696
La 0.7500 0.7500 0.7500
Si 0.3696 0.3696 0.8912
Sc 0.0000 0.0000 0.0000
Si 0.3696 0.8912 0.3696

Crystal system   cubic
Space group   F-43m
DOS at the Fermi energy   0.6001 states/eV per atom
E above lowest polymorph   250.3 meV/atom
ρ   4.5 g/cm3
Calculated volume   18.14 Å³ per atom

(15)
The following is a DFT calculation (PBE) of a relaxed La2ScSi crystal.

Cell: 4.0670 4.0670 6.6727 Å, 90.00 90.00 90.00°
Element x y z (fractional)
Si 0.5000 0.5000 0.7500
Sc 0.5000 0.5000 0.2500
La 0.0000 0.0000 0.5271
La 0.0000 0.0000 0.9729

Crystal system   tetragonal
Space group   P4/mmm
DOS at the Fermi energy   0.9921 states/eV per atom
Calculated total energy   -5.65 eV per atom
ρ   5.3 g/cm3
Calculated volume   27.59 Å³ per atom

(16)
The following is a DFT calculation (PBE) of a relaxed La2ScSi crystal.

Cell: 9.0257 9.0257 9.0257 Å, 26.20 26.20 26.20°
Element x y z (fractional)
La 0.0146 0.0146 0.0146
La 0.4854 0.4854 0.4854
Sc 0.2500 0.2500 0.2500
Si 0.7500 0.7500 0.7500

Crystal system   trigonal
Space group   R-3m
DOS at the Fermi energy   1.8042 states/eV per atom
Calculated total energy   -5.43 eV per atom
ρ   4.6 g/cm3
Calculated volume   31.58 Å³ per atom

(17)
The following is a DFT calculation (PBE) of a relaxed La2ScSi crystal.

Cell: 7.3842 5.6647 3.4821 Å, 90.00 61.85 120.45°
Element x y z (fractional)
La 0.0000 0.0000 0.0000
La 0.5000 0.0000 0.5000
Si 0.5000 0.5000 0.0000
Sc 0.0000 0.5000 0.5000

Crystal system   orthorhombic
Space group   Cmmm
DOS at the Fermi energy   1.2591 states/eV per atom
Calculated total energy   -5.58 eV per atom
ρ   5.5 g/cm3
Calculated volume   26.27 Å³ per atom

(18)
The following is a DFT calculation (PBE) of a relaxed La2ScSi crystal.

Cell: 6.3351 6.3351 5.0917 Å, 66.28 66.28 36.45°
Element x y z (fractional)
Si 0.7740 0.7740 0.7266
La 0.2401 0.2401 0.2604
Sc 0.4482 0.4482 0.5513
La 0.0377 0.0377 0.9617

Crystal system   monoclinic
Space group   Cm
DOS at the Fermi energy   1.1067 states/eV per atom
Calculated total energy   -5.72 eV per atom
ρ   5.3 g/cm3
Calculated volume   27.49 Å³ per atom

(19)
The following is a DFT calculation (PBE) of a relaxed LaSc2Si2 crystal.

Cell: 4.3583 4.3583 6.6978 Å, 71.01 71.01 90.00°
Element x y z (fractional)
Si 0.3966 0.3966 0.2068
Si 0.6034 0.6034 0.7932
La 0.0000 0.0000 0.0000
Sc 0.2500 0.7500 0.5000
Sc 0.7500 0.2500 0.5000

Crystal system   tetragonal
Space group   I4/mmm
DOS at the Fermi energy   1.1159 states/eV per atom
E above lowest polymorph   0.0 meV/atom
ρ   4.2 g/cm3
Calculated volume   22.59 Å³ per atom

(20)
The following is a DFT calculation (PBE) of a relaxed LaScSi2 crystal.

Cell: 5.9744 5.9744 5.9744 Å, 43.93 43.93 43.93°
Element x y z (fractional)
Si 0.4763 0.4763 0.4763
Sc 0.7500 0.7500 0.7500
Si 0.0237 0.0237 0.0237
La 0.2500 0.2500 0.2500

Crystal system   trigonal
Space group   R-3m
DOS at the Fermi energy   0.7905 states/eV per atom
E above lowest polymorph   164.1 meV/atom
ρ   4.3 g/cm3
Calculated volume   23.31 Å³ per atom